Computed, not measured: Na3Ni3PtO8 after structural relaxation at the PBE+U level of DFT.

Computed properties:
Calculated volume   172.2 Å³/f.u.
Theoretical density   5.5 g/cm³
Energy   -4.87 eV per atom

Cell: 6.0722 6.0749 6.4295 Å, 118.20 90.00 119.99°
Last column: nearest neighbours and their distance in Å.
Element x y z (fractional)
O: 0.2264 0.4528 0.6979  1 Pt 2.00, 2 Ni 2.08
O: 0.7736 0.5472 0.3021  1 Pt 2.00, 2 Ni 2.08
Na: 0.0000 0.5000 0.0000  6 O 2.37-2.47
O: 0.7253 0.4506 0.6772  3 Ni 1.99-2.00
Pt: 0.0000 0.0000 0.5000  6 O 2.00
Na: 0.5000 0.5000 0.0000  6 O 2.37-2.47
O: 0.2747 0.5494 0.3228  3 Ni 1.99-2.00
O: 0.7734 0.0282 0.3018  1 Pt 2.00, 2 Ni 2.08
Ni: 0.5000 0.0000 0.5000  6 O 1.99-2.08
Ni: 0.0000 0.5000 0.5000  6 O 2.00-2.08
O: 0.2547 0.0282 0.3018  1 Pt 2.00, 2 Ni 2.08
Na: 0.0000 0.0000 0.0000  6 O 2.37-2.47
Ni: 0.5000 0.5000 0.5000  6 O 2.00-2.08
O: 0.7453 0.9718 0.6982  1 Pt 2.00, 2 Ni 2.08
O: 0.2266 0.9718 0.6982  1 Pt 2.00, 2 Ni 2.08